# TiCdAu4, relaxed, DFT PBE
data_TiCdAu4
_cell_length_a 3.239
_cell_length_b 3.695
_cell_length_c 9.093
_cell_angle_alpha 90.00
_cell_angle_beta 90.00
_cell_angle_gamma 90.00
_space_group_name_H-M_alt 'P 1'
_space_group_IT_number 1
_space_group_name_Hall 'P 1'
loop_
_atom_site_label
_atom_site_type_symbol
_atom_site_fract_x
_atom_site_fract_y
_atom_site_fract_z
Ti1 Ti 0.000 0.500 0.500
Cd1 Cd 0.500 0.000 0.000
Au1 Au 0.000 0.500 0.824
Au2 Au 0.000 0.500 0.176
Au3 Au 0.500 0.000 0.655
Au4 Au 0.500 0.000 0.345
# DFT formation energy   -0.25 eV per atom
# Polymorph energy (0 for the lowest one)   0.0 meV/atom
# Symmetry   Pmmm (47)